# 1
A plane-wave DFT calculation with GGA-PBE was carried out for crystalline Na4U3PdN8 at its relaxed geometry.

As for the crystal system: monoclinic. For the uncorrected formation energy, the calculation gives -12.319 eV/f.u.

The structure belongs to space group C2/m (No. 12); the cell edges are 12.462, 6.593 and 6.722 Å and the angles 90.00°, 122.37° and 90.00°. The inequivalent atoms are Na at (0.000, 0.000, 0.000), Na at (0.000, 0.500, 0.000), Na at (0.250, 0.250, 0.000), U at (0.000, 0.000, 0.500), U at (0.250, 0.250, 0.500), Pd at (0.000, 0.500, 0.500), N at (0.033, 0.244, 0.329), N at (0.223, 0.000, 0.284) and N at (0.227, 0.000, 0.691).


# 2
A plane-wave DFT calculation with GGA-PBE was carried out for crystalline Li4ScTa at its relaxed geometry.

As for the formation energy: 2.8 eV per formula unit. As for the crystal system: cubic.

The structure belongs to space group F-43m (No. 216); the cell edges are 7.498, 7.498 and 7.498 Å and the angles 90.00°, 90.00° and 90.00°. The inequivalent atoms are Li at (0.124, 0.124, 0.376), Sc at (0.000, 0.000, 0.000) and Ta at (0.250, 0.250, 0.750).


# 3
A plane-wave DFT calculation with GGA-PBE was carried out for crystalline Li2YZn2Hg2 at its relaxed geometry.

As for the formation energy: -2.0 eV per formula unit. As for the crystal system: monoclinic.

The structure belongs to space group C2/m (No. 12); the cell edges are 8.340, 4.494 and 7.546 Å and the angles 90.00°, 105.49° and 90.00°. The inequivalent atoms are Li at (0.133, 0.000, 0.427), Y at (0.000, 0.000, 0.000), Zn at (0.072, 0.500, 0.705) and Hg at (0.231, 0.500, 0.214).


# 4
A plane-wave DFT calculation with GGA-PBE was carried out for crystalline TaNi2Ru at its relaxed geometry.

As for the formation energy: -0.9 eV per formula unit. As for the crystal system: tetragonal. The value obtained for the energy above the lowest structure with this stoichiometry is 0.104 eV/atom.

The structure belongs to space group I-4m2 (No. 119); the cell edges are 3.792, 3.792 and 7.464 Å and the angles 90.00°, 90.00° and 90.00°. The inequivalent atoms are Ta at (0.000, 0.000, 0.000), Ni at (0.000, 0.000, 0.500), Ni at (0.000, 0.500, 0.250) and Ru at (0.000, 0.500, 0.750).


# 5
A plane-wave DFT calculation with GGA-PBE was carried out for crystalline Li2Co at its relaxed geometry.

As for the formation energy: 0.6 eV per formula unit. As for the crystal system: orthorhombic.

The structure belongs to space group Pnma (No. 62); the cell edges are 5.216, 3.971 and 7.768 Å and the angles 90.00°, 90.00° and 90.00°. The inequivalent atoms are Li at (0.091, 0.250, 0.100), Li at (0.203, 0.250, 0.765) and Co at (0.064, 0.250, 0.448).


# 6
A plane-wave DFT calculation with GGA-PBE was carried out for crystalline FeP2SN at its relaxed geometry.

As for the crystal system: tetragonal. The value obtained for the energy above the lowest structure with this stoichiometry is 0.403 eV/atom. For the uncorrected formation energy, the calculation gives 7.222 eV/f.u.

The structure belongs to space group P4/mmm (No. 123); the cell edges are 4.365, 4.365 and 4.307 Å and the angles 90.00°, 90.00° and 90.00°. The inequivalent atoms are Fe at (0.000, 0.000, 0.000), P at (0.000, 0.500, 0.000), S at (0.000, 0.000, 0.500) and N at (0.500, 0.500, 0.500).


Number 1: size of the total moment 0.0 Bohr magnetons per cell, calculated total energy -7.70 eV/atom. Number 2: size of the total moment 8.5 Bohr magnetons per cell, calculated total energy -3.85 eV/atom. Number 3: size of the total moment 0.0 Bohr magnetons per cell, calculated total energy -2.21 eV/atom. Number 4: size of the total moment 0.0 Bohr magnetons per cell, calculated total energy -8.39 eV/atom. Number 5: size of the total moment 4.4 Bohr magnetons per cell, calculated total energy -3.45 eV/atom. Number 6: size of the total moment 0.6 Bohr magnetons per cell, calculated total energy -4.90 eV/atom.